Record 1
## AlHg2P (meta-GGA SCAN)

Data for AlHg2P at its PBEsol-relaxed geometry.

As for the formation energy: 3.67 kJ per mole of atoms. Its energy above the most stable polymorph in this dataset is 70 meV per atom. The theoretical density comes out at 9.33 g cm⁻³.

```
data_AlHg2P
_chemical_formula_sum 'Al2 Hg4 P2'
_symmetry_space_group_name_H-M 'C 1 2/m 1'
_symmetry_Int_Tables_number 12
_cell_length_a 13.502
_cell_length_b 3.451
_cell_length_c 3.518
_cell_angle_alpha 90.00
_cell_angle_beta 94.40
_cell_angle_gamma 90.00
loop_
_symmetry_equiv_pos_as_xyz
'x,y,z'
'-x,-y,-z'
'-x,y,-z'
'x,-y,z'
'x+1/2,y+1/2,z'
'-x+1/2,-y+1/2,-z'
'-x+1/2,y+1/2,-z'
'x+1/2,-y+1/2,z'
loop_
_atom_site_label
_atom_site_fract_x
_atom_site_fract_y
_atom_site_fract_z
Al1 0.000 0.000 0.000
Hg1 0.186 0.500 0.220
P1 0.000 0.500 0.500
```

=====

Record 2
## ZnInAu2 (meta-GGA SCAN)

Data for ZnInAu2 at its PBEsol-relaxed geometry.

As for the formation energy: -20.24 kJ per mole of atoms. The theoretical density comes out at 13.35 g cm⁻³.

```
data_ZnInAu2
_chemical_formula_sum 'Zn1 In1 Au2'
_symmetry_space_group_name_H-M 'P 4 m m'
_symmetry_Int_Tables_number 99
_cell_length_a 3.596
_cell_length_b 3.596
_cell_length_c 5.526
_cell_angle_alpha 90.00
_cell_angle_beta 90.00
_cell_angle_gamma 90.00
loop_
_symmetry_equiv_pos_as_xyz
'x,y,z'
'-y,x,z'
'-x,-y,z'
'y,-x,z'
'-x,y,z'
'y,x,z'
'x,-y,z'
'-y,-x,z'
loop_
_atom_site_label
_atom_site_fract_x
_atom_site_fract_y
_atom_site_fract_z
Zn1 0.000 0.000 0.000
In1 0.500 0.500 0.701
Au1 0.000 0.000 0.480
Au2 0.500 0.500 0.190
```

=====

Record 3
## Mg2NbRuSe (meta-GGA SCAN)

Data for Mg2NbRuSe at its PBEsol-relaxed geometry.

The theoretical density comes out at 4.76 g cm⁻³. The calculation puts the uncorrected formation energy at 0.3324 eV per atom.

```
data_Mg2NbRuSe
_chemical_formula_sum 'Mg2 Nb1 Ru1 Se1'
_symmetry_space_group_name_H-M 'P 4/m m m'
_symmetry_Int_Tables_number 123
_symmetry_space_group_name_Hall '-P 4 2'
_cell_length_a 4.919
_cell_length_b 4.919
_cell_length_c 4.633
_cell_angle_alpha 90.00
_cell_angle_beta 90.00
_cell_angle_gamma 90.00
loop_
_atom_site_label
_atom_site_fract_x
_atom_site_fract_y
_atom_site_fract_z
Mg1 0.000 0.500 0.000
Nb1 0.000 0.000 0.500
Ru1 0.000 0.000 0.000
Se1 0.500 0.500 0.500
```

=====

Record 4
## LaCoOsI2 (meta-GGA SCAN)

Data for LaCoOsI2 at its PBEsol-relaxed geometry.

The theoretical density comes out at 7.28 g cm⁻³. The calculation puts the uncorrected formation energy at 0.6734 eV per atom.

```
data_LaCoOsI2
_chemical_formula_sum 'La1 Co1 Os1 I2'
_symmetry_space_group_name_H-M 'P 4/m m m'
_symmetry_Int_Tables_number 123
_symmetry_space_group_name_Hall '-P 4 2'
_cell_length_a 5.321
_cell_length_b 5.321
_cell_length_c 5.172
_cell_angle_alpha 90.00
_cell_angle_beta 90.00
_cell_angle_gamma 90.00
loop_
_atom_site_label
_atom_site_fract_x
_atom_site_fract_y
_atom_site_fract_z
La1 0.000 0.000 0.000
Co1 0.500 0.500 0.000
Os1 0.000 0.000 0.500
I1 0.000 0.500 0.500
```

=====

Record 5
## BaSbTe2S (meta-GGA SCAN)

Data for BaSbTe2S at its PBEsol-relaxed geometry.

The theoretical density comes out at 5.88 g cm⁻³. The calculation puts the uncorrected formation energy at -0.4368 eV per atom.

```
data_BaSbTe2S
_chemical_formula_sum 'Ba1 Sb1 Te2 S1'
_symmetry_space_group_name_H-M 'P 4/m m m'
_symmetry_Int_Tables_number 123
_symmetry_space_group_name_Hall '-P 4 2'
_cell_length_a 5.469
_cell_length_b 5.469
_cell_length_c 5.155
_cell_angle_alpha 90.00
_cell_angle_beta 90.00
_cell_angle_gamma 90.00
loop_
_atom_site_label
_atom_site_fract_x
_atom_site_fract_y
_atom_site_fract_z
Ba1 0.000 0.000 0.000
Sb1 0.500 0.500 0.000
Te1 0.000 0.500 0.500
S1 0.500 0.500 0.500
```

=====

Record 6
## Ta2Be2Sb (meta-GGA SCAN)

Data for Ta2Be2Sb at its PBEsol-relaxed geometry.

The theoretical density comes out at 11.88 g cm⁻³. The calculation puts the uncorrected formation energy at 0.0117 eV per atom.

```
data_Ta2Be2Sb
_chemical_formula_sum 'Ta4 Be4 Sb2'
_symmetry_space_group_name_H-M 'P 4/m b m'
_symmetry_Int_Tables_number 127
_symmetry_space_group_name_Hall '-P 4 2ab'
_cell_length_a 6.235
_cell_length_b 6.235
_cell_length_c 3.609
_cell_angle_alpha 90.00
_cell_angle_beta 90.00
_cell_angle_gamma 90.00
loop_
_atom_site_label
_atom_site_fract_x
_atom_site_fract_y
_atom_site_fract_z
Ta1 0.175 0.325 0.000
Be1 0.114 0.614 0.500
Sb1 0.000 0.000 0.500
```

=====

Record 7
## HfBiS3 (meta-GGA SCAN)

Data for HfBiS3 at its PBEsol-relaxed geometry.

Its energy above the most stable polymorph in this dataset is 1399 meV per atom. The theoretical density comes out at 6.27 g cm⁻³. The calculation puts the uncorrected formation energy at 0.7151 eV per atom.

```
data_HfBiS3
_chemical_formula_sum 'Hf1 Bi1 S3'
_symmetry_space_group_name_H-M 'P m -3 m'
_symmetry_Int_Tables_number 221
_symmetry_space_group_name_Hall '-P 4 2 3'
_cell_length_a 5.041
_cell_length_b 5.041
_cell_length_c 5.041
_cell_angle_alpha 90.00
_cell_angle_beta 90.00
_cell_angle_gamma 90.00
loop_
_atom_site_label
_atom_site_fract_x
_atom_site_fract_y
_atom_site_fract_z
Hf1 0.000 0.000 0.000
Bi1 0.500 0.500 0.500
S1 0.000 0.500 0.500
```

=====

Record 8
## MgAlHg2 (meta-GGA SCAN)

Data for MgAlHg2 at its PBEsol-relaxed geometry.

As for the formation energy: -15.54 kJ per mole of atoms. The theoretical density comes out at 9.23 g cm⁻³.

```
data_MgAlHg2
_chemical_formula_sum 'Mg2 Al2 Hg4'
_symmetry_space_group_name_H-M 'C 1 2/m 1'
_symmetry_Int_Tables_number 12
_cell_length_a 8.818
_cell_length_b 3.391
_cell_length_c 5.569
_cell_angle_alpha 90.00
_cell_angle_beta 102.14
_cell_angle_gamma 90.00
loop_
_symmetry_equiv_pos_as_xyz
'x,y,z'
'-x,-y,-z'
'-x,y,-z'
'x,-y,z'
'x+1/2,y+1/2,z'
'-x+1/2,-y+1/2,-z'
'-x+1/2,y+1/2,-z'
'x+1/2,-y+1/2,z'
loop_
_atom_site_label
_atom_site_fract_x
_atom_site_fract_y
_atom_site_fract_z
Mg1 0.000 0.000 0.000
Al1 0.000 0.500 0.500
Hg1 0.248 0.000 0.743
```

=====

> Which value of theoretical density does entry 2 give?

13.35 g cm⁻³

=====

Please write out number 4 again, unchanged.
## LaCoOsI2 (meta-GGA SCAN)

Data for LaCoOsI2 at its PBEsol-relaxed geometry.

The theoretical density comes out at 7.28 g cm⁻³. The calculation puts the uncorrected formation energy at 0.6734 eV per atom.

```
data_LaCoOsI2
_chemical_formula_sum 'La1 Co1 Os1 I2'
_symmetry_space_group_name_H-M 'P 4/m m m'
_symmetry_Int_Tables_number 123
_symmetry_space_group_name_Hall '-P 4 2'
_cell_length_a 5.321
_cell_length_b 5.321
_cell_length_c 5.172
_cell_angle_alpha 90.00
_cell_angle_beta 90.00
_cell_angle_gamma 90.00
loop_
_atom_site_label
_atom_site_fract_x
_atom_site_fract_y
_atom_site_fract_z
La1 0.000 0.000 0.000
Co1 0.500 0.500 0.000
Os1 0.000 0.000 0.500
I1 0.000 0.500 0.500
```

=====

> What is the theoretical density in the fifth record?

5.88 g cm⁻³